*1*
DFT (GGA-PBE) results for a geometry-optimized SrNbPt2 structure.

Cell and atoms, written as CIF:
```
data_SrNbPt2
_cell_length_a 6.857
_cell_length_b 6.857
_cell_length_c 6.857
_cell_angle_alpha 90.00
_cell_angle_beta 90.00
_cell_angle_gamma 90.00
_space_group_name_H-M_alt 'F m -3 m'
_space_group_IT_number 225
_space_group_name_Hall '-F 4 2 3'
loop_
_atom_site_label
_atom_site_type_symbol
_atom_site_fract_x
_atom_site_fract_y
_atom_site_fract_z
_atom_site_occupancy
Sr1 Sr 0.000 0.000 0.000 1
Nb1 Nb 0.000 0.000 0.500 1
Pt1 Pt 0.250 0.250 0.250 1
```

## Properties
The calculated volume comes out at 20.15 A^3/atom.

*2*
DFT (GGA-PBE) results for a geometry-optimized SrNbPt2 structure.

Cell and atoms, written as CIF:
```
data_SrNbPt2
_cell_length_a 7.533
_cell_length_b 7.533
_cell_length_c 7.122
_cell_angle_alpha 90.00
_cell_angle_beta 90.00
_cell_angle_gamma 90.00
_space_group_name_H-M_alt 'I -4 2 d'
_space_group_IT_number 122
_space_group_name_Hall 'I -4 2bw'
loop_
_atom_site_label
_atom_site_type_symbol
_atom_site_fract_x
_atom_site_fract_y
_atom_site_fract_z
_atom_site_occupancy
Sr1 Sr 0.000 0.000 0.000 1
Nb1 Nb 0.000 0.000 0.500 1
Pt1 Pt 0.184 0.250 0.625 1
```

## Properties
The calculated volume comes out at 25.26 A^3/atom.

The structure with the most favorable energy is *1*; the runner-up is 66 meV/atom above it.